A relaxed NaSnN2 crystal. Source: the Alexandria database, functional PBE.

As for the formation energy (no corrections): 208.1 kJ/mol of formula units. The density comes out at 4.36 g/cm3. For the size of the total moment, the calculation gives 1.0 μB per formula unit.

It has space group R-3m (No. 166, hexagonal axes), with a = 3.3450 Å, b = 3.3450 Å, c = 19.9934 Å, α = 90.00°, β = 90.00° and γ = 120.00°. The asymmetric unit holds Na at (0.0000, 0.0000, 0.0000), Sn at (0.0000, 0.0000, 0.5000) and N at (0.0000, 0.0000, 0.1119).

---

A relaxed NaSnN crystal. Source: the Alexandria database, functional PBE.

As for the formation energy (no corrections): -14.5 kJ/mol of formula units. The density comes out at 4.35 g/cm3. For the size of the total moment, the calculation gives 0.0 μB per formula unit.

It has space group P2_1/m (No. 11), with a = 6.0756 Å, b = 3.4150 Å, c = 6.0946 Å, α = 90.00°, β = 109.77° and γ = 90.00°. The asymmetric unit holds Na at (0.2152, 0.2500, 0.1516), Sn at (0.2244, 0.7500, 0.6554) and N at (0.0199, 0.2500, 0.7132).

---

A relaxed NaSnN crystal. Source: the Alexandria database, functional PBE.

As for the formation energy (no corrections): -6.0 kJ/mol of formula units. The density comes out at 4.61 g/cm3. For the size of the total moment, the calculation gives 0.0 μB per formula unit.

It has space group Cmcm (No. 63), with a = 3.3213 Å, b = 13.3301 Å, c = 5.0640 Å, α = 90.00°, β = 90.00° and γ = 90.00°. The asymmetric unit holds Na at (0.0000, 0.2006, 0.2500), Sn at (0.0000, 0.4396, 0.2500) and N at (0.0000, 0.1581, 0.7500).

---

A relaxed NaSn2N2 crystal. Source: the Alexandria database, functional PBE.

As for the formation energy (no corrections): 248.3 kJ/mol of formula units. The density comes out at 4.98 g/cm3. For the size of the total moment, the calculation gives 0.0 μB per formula unit. The value obtained for the distance to the lowest polymorph of the same formula is 0.0 meV/atom.

It has space group P4/mbm (No. 127), with a = 7.4694 Å, b = 7.4694 Å, c = 3.4472 Å, α = 90.00°, β = 90.00° and γ = 90.00°. The asymmetric unit holds Na at (0.0000, 0.0000, 0.0000), Sn at (0.1358, 0.3642, 0.5000) and N at (0.2453, 0.2547, 0.0000).

---

A relaxed Na2SnN crystal. Source: the Alexandria database, functional PBE.

As for the formation energy (no corrections): 321.5 kJ/mol of formula units. The density comes out at 3.78 g/cm3. For the size of the total moment, the calculation gives 0.0 μB per formula unit. The value obtained for the distance to the lowest polymorph of the same formula is 506.9 meV/atom.

It has space group Fm-3m (No. 225), with a = 6.7996 Å, b = 6.7996 Å, c = 6.7996 Å, α = 90.00°, β = 90.00° and γ = 90.00°. The asymmetric unit holds Na at (0.2500, 0.2500, 0.2500), Sn at (0.0000, 0.0000, 0.0000) and N at (0.0000, 0.0000, 0.5000).

---

A relaxed NaSnN2 crystal. Source: the Alexandria database, functional PBE.

As for the formation energy (no corrections): 164.4 kJ/mol of formula units. The density comes out at 4.10 g/cm3. For the size of the total moment, the calculation gives 1.0 μB per formula unit.

It has space group I-42d (No. 122), with a = 5.4803 Å, b = 5.4803 Å, c = 9.1489 Å, α = 90.00°, β = 90.00° and γ = 90.00°. The asymmetric unit holds Na at (0.0000, 0.0000, 0.0000), Sn at (0.0000, 0.0000, 0.5000) and N at (0.1946, 0.2500, 0.6250).

---

A relaxed NaSnN2 crystal. Source: the Alexandria database, functional PBE.

As for the formation energy (no corrections): 428.1 kJ/mol of formula units. The density comes out at 3.45 g/cm3. For the size of the total moment, the calculation gives 1.0 μB per formula unit.

It has space group R-3m (No. 166, hexagonal axes), with a = 3.8034 Å, b = 3.8034 Å, c = 19.5707 Å, α = 90.00°, β = 90.00° and γ = 120.00°. The asymmetric unit holds Na at (0.0000, 0.0000, 0.0000), Sn at (0.0000, 0.0000, 0.5000) and N at (0.0000, 0.0000, 0.4024).

---

A relaxed Na3SnN crystal. Source: the Alexandria database, functional PBE.

As for the formation energy (no corrections): 183.5 kJ/mol of formula units. The density comes out at 2.97 g/cm3. For the size of the total moment, the calculation gives 0.9 μB per formula unit. The value obtained for the distance to the lowest polymorph of the same formula is 0.0 meV/atom.

It has space group Pm-3m (No. 221), with a = 4.8292 Å, b = 4.8292 Å, c = 4.8292 Å, α = 90.00°, β = 90.00° and γ = 90.00°. The asymmetric unit holds Na at (0.0000, 0.0000, 0.5000), Sn at (0.5000, 0.5000, 0.5000) and N at (0.0000, 0.0000, 0.0000).

---

A relaxed NaSn2N2 crystal. Source: the Alexandria database, functional PBE.

As for the formation energy (no corrections): 249.9 kJ/mol of formula units. The density comes out at 3.88 g/cm3. For the size of the total moment, the calculation gives 0.0 μB per formula unit. The value obtained for the distance to the lowest polymorph of the same formula is 3.3 meV/atom.

It has space group I4/mmm (No. 139), with a = 4.5273 Å, b = 4.5273 Å, c = 12.0454 Å, α = 90.00°, β = 90.00° and γ = 90.00°. The asymmetric unit holds Na at (0.0000, 0.0000, 0.0000), Sn at (0.0000, 0.5000, 0.2500) and N at (0.0000, 0.0000, 0.1933).

---

A relaxed NaSn3N crystal. Source: the Alexandria database, functional PBE.

As for the formation energy (no corrections): 195.5 kJ/mol of formula units. The density comes out at 5.52 g/cm3. For the size of the total moment, the calculation gives 0.0 μB per formula unit. The value obtained for the distance to the lowest polymorph of the same formula is 0.0 meV/atom.

It has space group Pm-3m (No. 221), with a = 4.9088 Å, b = 4.9088 Å, c = 4.9088 Å, α = 90.00°, β = 90.00° and γ = 90.00°. The asymmetric unit holds Na at (0.0000, 0.0000, 0.0000), Sn at (0.0000, 0.5000, 0.5000) and N at (0.5000, 0.5000, 0.5000).

---

A relaxed NaSn2N crystal. Source: the Alexandria database, functional PBE.

As for the formation energy (no corrections): 104.6 kJ/mol of formula units. The density comes out at 5.33 g/cm3. For the size of the total moment, the calculation gives 0.0 μB per formula unit.

It has space group I-42d (No. 122), with a = 7.3252 Å, b = 7.3252 Å, c = 6.3775 Å, α = 90.00°, β = 90.00° and γ = 90.00°. The asymmetric unit holds Na at (0.0000, 0.0000, 0.0000), Sn at (0.1633, 0.2500, 0.6250) and N at (0.0000, 0.0000, 0.5000).

---

A relaxed NaSn3N crystal. Source: the Alexandria database, functional PBE.

As for the formation energy (no corrections): 852.2 kJ/mol of formula units. The density comes out at 4.37 g/cm3. For the size of the total moment, the calculation gives 0.0 μB per formula unit. The value obtained for the distance to the lowest polymorph of the same formula is 1361.2 meV/atom.

It has space group Pm-3m (No. 221), with a = 5.3074 Å, b = 5.3074 Å, c = 5.3074 Å, α = 90.00°, β = 90.00° and γ = 90.00°. The asymmetric unit holds Na at (0.0000, 0.0000, 0.0000), Sn at (0.0000, 0.0000, 0.5000) and N at (0.5000, 0.5000, 0.5000).

---

A relaxed NaSnN2 crystal. Source: the Alexandria database, functional PBE.

As for the formation energy (no corrections): 1.4 kJ/mol of formula units. The density comes out at 3.34 g/cm3. For the size of the total moment, the calculation gives 0.0 μB per formula unit.

It has space group C2/m (No. 12), with a = 18.8032 Å, b = 4.1413 Å, c = 4.3359 Å, α = 90.00°, β = 90.88° and γ = 90.00°. The asymmetric unit holds Na at (0.1506, 0.0000, 0.4941), Sn at (0.0000, 0.0000, 0.0000), Sn at (0.0000, 0.5000, 0.5000), N at (0.1928, 0.5000, 0.1263) and N at (0.1932, 0.5000, 0.8618).